Computed, not measured: CrGaF2 after structural relaxation at the PBE+U level of DFT.

Summary:
Energy relative to the lowest polymorph listed for this composition in eV per atom: 0.149
Total energy in eV for the cell shown: -39.6

POSCAR file:
```
CrGaF2
1.0
-0.026 -4.458 -1.110
4.520 0.173 -0.801
3.437 -3.735 5.415
Cr Ga F
2 2 4
Direct
0.500 0.500 0.000
0.250 0.750 0.500
0.000 0.000 0.000
0.750 0.250 0.500
0.571 0.125 0.250
0.179 0.625 0.250
0.375 0.429 0.750
0.875 0.821 0.750
```